First-principles (PBE) data for a geometry-optimized Pm3Ge2I structure, as listed in the Alexandria database.

a = 4.619 Å, b = 7.831 Å, c = 9.725 Å
α = 90.00°, β = 90.00°, γ = 107.15°
Atoms (fractional coordinates):
Pm  0.370  0.739  0.538
I  0.222  0.444  0.250
Pm  0.630  0.261  0.462
I  0.778  0.556  0.750
Pm  0.370  0.739  0.962
Pm  0.630  0.261  0.038
Ge  0.000  0.000  0.500
Pm  0.876  0.752  0.250
Pm  0.124  0.248  0.750
Ge  0.000  0.000  0.000
Ge  0.492  0.984  0.250
Ge  0.508  0.016  0.750

Properties
The magnetization is 0.0 μB per formula unit. The value obtained for the uncorrected formation energy is -602 meV per atom.

***

First-principles (PBE) data for a geometry-optimized Pm12Ge6I structure, as listed in the Alexandria database.

a = 8.936 Å, b = 8.936 Å, c = 8.936 Å
α = 105.29°, β = 105.29°, γ = 105.29°
Atoms (fractional coordinates):
Pm  0.555  0.824  0.555
I  0.000  0.000  0.000
Pm  0.138  0.500  0.862
Ge  0.667  0.243  0.243
Ge  0.243  0.243  0.667
Ge  0.757  0.333  0.757
Ge  0.333  0.757  0.757
Pm  0.862  0.138  0.500
Pm  0.445  0.176  0.445
Ge  0.243  0.667  0.243
Pm  0.500  0.862  0.138
Ge  0.757  0.757  0.333
Pm  0.138  0.862  0.500
Pm  0.445  0.445  0.176
Pm  0.862  0.500  0.138
Pm  0.500  0.138  0.862
Pm  0.824  0.555  0.555
Pm  0.555  0.555  0.824
Pm  0.176  0.445  0.445

Properties
The magnetization is 0.0 μB per formula unit. The value obtained for the uncorrected formation energy is -462 meV per atom.

***

First-principles (PBE) data for a geometry-optimized PmGeI structure, as listed in the Alexandria database.

a = 5.751 Å, b = 5.753 Å, c = 11.534 Å
α = 90.00°, β = 90.00°, γ = 90.00°
Atoms (fractional coordinates):
I  0.326  0.000  0.333
Ge  0.077  0.250  0.000
Ge  0.077  0.750  0.000
Pm  0.826  0.500  0.804
Pm  0.326  0.000  0.804
Ge  0.577  0.750  0.000
Ge  0.577  0.250  0.000
I  0.326  0.500  0.667
I  0.826  0.000  0.667
Pm  0.326  0.500  0.196
Pm  0.826  0.000  0.196
I  0.826  0.500  0.333

Properties
The magnetization is 0.0 μB per formula unit. Its energy relative to the lowest polymorph listed for this composition is 0.043 eV/atom. The value obtained for the uncorrected formation energy is -993 meV per atom.

***

First-principles (PBE) data for a geometry-optimized Pm4GeI2 structure, as listed in the Alexandria database.

a = 4.135 Å, b = 4.135 Å, c = 15.794 Å
α = 82.48°, β = 82.48°, γ = 60.00°
Atoms (fractional coordinates):
Pm  0.863  0.863  0.412
Pm  0.368  0.368  0.897
Pm  0.137  0.137  0.588
Ge  0.000  0.000  0.000
I  0.249  0.249  0.254
Pm  0.632  0.632  0.103
I  0.751  0.751  0.746

Properties
The magnetization is 0.0 μB per formula unit. The value obtained for the uncorrected formation energy is -773 meV per atom.

***

VASP energy in eV per atom, matching the order above: -4.7752, -5.0016, -4.6321, -4.5901